# Rb2NiPtO4

An optimized crystal structure of Rb2NiPtO4 (PBE+U, the Alexandria database).

The structure belongs to space group Fddd (No. 70, origin choice 2); the cell edges are 5.718, 13.871 and 18.934 Å and the angles 90.00°, 90.00° and 90.00°. The asymmetric unit holds Rb at (0.125, 0.125, 0.293), Ni at (0.125, 0.125, 0.125), Pt at (0.125, 0.125, 0.625) and O at (0.112, 0.284, 0.376).

As for the density of states at the Fermi level: 0.359 states/eV per atom. As for the total magnetization: 16.24 μB per cell. As for the electronic total energy: -4.69 eV per atom.